1.
12
Lattice="10.130 -2.251 0.000 10.130 2.251 0.000 -2.545 0.000 9.007" Properties=species:S:1:pos:R:3 comment="La6Si2SnI3, relaxed, DFT PBE-GGA" spacegroup="C2/m, No. 12" pbc="T T T"
La -0.301 0.000 2.200
La 5.404 0.000 3.965
La 4.575 0.000 7.885
La 13.141 0.000 1.122
La 12.312 0.000 5.042
La 18.017 0.000 6.807
Si 2.545 0.000 3.048
Si 15.171 0.000 5.959
Sn 10.130 0.000 0.000
I 1.191 0.000 7.517
I 8.858 0.000 4.504
I 16.525 0.000 1.490

2.
12
Lattice="4.270 0.000 0.000 -2.135 3.698 0.000 0.000 0.000 23.478" Properties=species:S:1:pos:R:3 comment="LaTbSiI, relaxed, DFT PBE-GGA" spacegroup="R3m, No. 160" pbc="T T T"
La 0.000 0.000 0.000
La 0.000 2.465 15.652
La 2.135 1.233 7.826
Tb 0.000 0.000 18.728
Tb 0.000 2.465 10.902
Tb 2.135 1.233 3.076
Si 0.000 0.000 9.482
Si 0.000 2.465 1.656
Si 2.135 1.233 17.308
I 0.000 0.000 5.309
I 0.000 2.465 20.961
I 2.135 1.233 13.135

3.
12
Lattice="9.896 -2.241 0.000 9.896 2.241 0.000 -2.115 0.000 8.926" Properties=species:S:1:pos:R:3 comment="La6Si2Te3I, relaxed, DFT PBE-GGA" spacegroup="C2/m, No. 12" pbc="T T T"
La -0.284 0.000 2.395
La 4.569 0.000 7.900
La 5.563 0.000 3.848
La 12.113 0.000 5.078
La 13.107 0.000 1.026
La 17.959 0.000 6.531
Si 2.618 0.000 2.973
Si 15.058 0.000 5.953
Te 1.378 0.000 7.459
Te 8.838 0.000 4.463
Te 16.297 0.000 1.467
I 9.896 0.000 0.000

4.
5
Lattice="6.207 0.000 0.000 0.000 6.207 0.000 0.000 0.000 6.059" Properties=species:S:1:pos:R:3 comment="LaSiTe2I, relaxed, DFT PBE-GGA" spacegroup="P4/mmm, No. 123" pbc="T T T"
La 0.000 0.000 0.000
Si 3.104 3.104 3.029
Te 0.000 3.104 0.000
Te 3.104 0.000 0.000
I 0.000 0.000 3.029

5.
8
Lattice="7.967 0.000 0.000 0.000 4.486 0.000 -2.571 0.000 7.626" Properties=species:S:1:pos:R:3 comment="La4SiTeI2, relaxed, DFT PBE-GGA" spacegroup="P2/m, No. 10" pbc="T T T"
La 1.164 0.000 1.566
La -0.160 2.243 5.980
La 5.556 2.243 1.646
La 4.232 0.000 6.060
Si 0.000 2.243 0.000
Te 3.984 0.000 0.000
I -1.286 0.000 3.813
I 2.698 2.243 3.813

6.
5
Lattice="5.473 0.000 0.000 0.000 5.473 0.000 0.000 0.000 5.317" Properties=species:S:1:pos:R:3 comment="LaSiTe2I, relaxed, DFT PBE-GGA" spacegroup="P4/mmm, No. 123" pbc="T T T"
La 0.000 0.000 0.000
Si 2.737 2.737 2.659
Te 0.000 2.737 2.659
Te 2.737 0.000 2.659
I 2.737 2.737 0.000

7.
12
Lattice="10.072 -2.236 0.000 10.072 2.236 0.000 -2.506 0.000 8.996" Properties=species:S:1:pos:R:3 comment="La6Si2TeI3, relaxed, DFT PBE-GGA" spacegroup="C2/m, No. 12" pbc="T T T"
La -0.253 0.000 2.231
La 5.385 0.000 3.977
La 4.534 0.000 7.856
La 13.104 0.000 1.141
La 12.253 0.000 5.019
La 17.891 0.000 6.765
Si 2.552 0.000 3.028
Si 15.087 0.000 5.969
Te 10.072 0.000 0.000
I 1.191 0.000 7.499
I 8.819 0.000 4.498
I 16.447 0.000 1.497

8.
12
Lattice="10.100 -2.220 0.000 10.100 2.220 0.000 -2.447 0.000 9.136" Properties=species:S:1:pos:R:3 comment="La6TlSi2I3, relaxed, DFT PBE-GGA" spacegroup="C2/m, No. 12" pbc="T T T"
La -0.303 0.000 2.281
La 5.435 0.000 4.016
La 4.628 0.000 7.997
La 13.124 0.000 1.139
La 12.318 0.000 5.120
La 18.055 0.000 6.855
Tl 10.100 0.000 0.000
Si 2.573 0.000 3.101
Si 15.179 0.000 6.034
I 1.269 0.000 7.624
I 8.876 0.000 4.568
I 16.483 0.000 1.511

9.
8
Lattice="8.041 0.000 0.000 0.000 4.492 0.000 -2.552 0.000 7.631" Properties=species:S:1:pos:R:3 comment="La4TlSiI2, relaxed, DFT PBE-GGA" spacegroup="P2/m, No. 10" pbc="T T T"
La 1.257 0.000 1.601
La -0.034 2.246 5.932
La 5.523 2.246 1.698
La 4.232 0.000 6.029
Tl 4.020 0.000 0.000
Si 0.000 2.246 0.000
I -1.276 0.000 3.815
I 2.744 2.246 3.815

10.
5
Lattice="5.597 0.000 0.000 0.000 5.597 0.000 0.000 0.000 5.080" Properties=species:S:1:pos:R:3 comment="La2SiWI, relaxed, DFT PBE-GGA" spacegroup="P4/mmm, No. 123" pbc="T T T"
La 0.000 2.798 0.000
La 2.798 0.000 0.000
Si 0.000 0.000 2.540
W 2.798 2.798 0.000
I 2.798 2.798 2.540

11.
12
Lattice="3.853 -6.678 0.000 3.853 6.678 0.000 -2.572 0.000 7.693" Properties=species:S:1:pos:R:3 comment="La6ZnSi2I3, relaxed, DFT PBE-GGA" spacegroup="C2/m, No. 12" pbc="T T T"
La -0.033 2.284 6.082
La 1.215 0.000 1.606
La -0.033 -2.284 6.082
La 5.167 2.284 1.611
La 3.919 0.000 6.087
La 5.167 -2.284 1.611
Zn 3.853 0.000 0.000
Si 3.853 4.455 0.000
Si 3.853 -4.455 0.000
I -1.286 0.000 3.846
I 2.567 2.215 3.846
I 2.567 -2.215 3.846

12.
8
Lattice="7.847 0.000 0.000 0.000 4.380 0.000 -2.443 0.000 7.677" Properties=species:S:1:pos:R:3 comment="La4ZnSiI2, relaxed, DFT PBE-GGA" spacegroup="P2/m, No. 10" pbc="T T T"
La 1.279 0.000 1.603
La 0.097 2.190 6.033
La 5.307 2.190 1.643
La 4.125 0.000 6.074
Zn 3.923 0.000 0.000
Si 0.000 2.190 0.000
I -1.221 0.000 3.838
I 2.702 2.190 3.838

Short version: uncorrected formation energy = -1.00, -0.94, -1.26, 0.13, -1.18, -0.39, -1.13, -0.90, -0.84, 0.64, -0.86, -0.80 eV/atom, in the order given.